(1)
A plane-wave DFT calculation with GGA-PBE was carried out for crystalline Na3ScPd at its relaxed geometry.

Values from the calculation:
Uncorrected energy, eV/f.u.: -9.4
SG: No. 221
Calculated formation energy, eV per atom: 1.2087
Polymorph energy (0 for the lowest one), meV/atom: 706

abc: 5.898 5.898 5.898
angles: 90.00 90.00 90.00
Fractional coordinates of all 5 atoms:
Sc 0.000 0.000 0.000
Na 0.000 0.500 0.000
Na 0.000 0.000 0.500
Na 0.500 0.000 0.000
Pd 0.500 0.500 0.500

=====

(2)
A plane-wave DFT calculation with GGA-PBE was carried out for crystalline Pm2Tm2Pb5 at its relaxed geometry.

Values from the calculation:
Uncorrected energy, eV/f.u.: -39.3
SG: No. 46
Calculated formation energy, eV per atom: -0.2619

abc: 9.710 7.063 10.255
angles: 110.14 118.26 90.00
Fractional coordinates of all 18 atoms:
Pm 0.109 0.696 0.263
Pm 0.891 0.434 0.737
Pm 0.654 0.196 0.263
Pm 0.346 0.934 0.737
Tm 0.000 0.064 0.000
Tm 0.500 0.564 0.000
Tm 0.276 0.316 0.500
Tm 0.724 0.816 0.500
Pb 0.207 0.771 0.913
Pb 0.793 0.858 0.087
Pb 0.206 0.271 0.913
Pb 0.794 0.358 0.087
Pb 0.398 0.964 0.296
Pb 0.602 0.667 0.704
Pb 0.398 0.464 0.296
Pb 0.602 0.167 0.704
Pb 0.000 0.565 0.500
Pb 0.000 0.065 0.500